# 1
CaPr2Zn9 | GGA-PBE | relaxed Values from VASP.

```
&SYSTEM
  ibrav = 0, nat = 12, ntyp = 3
/
ATOMIC_SPECIES
Ca 40.08 Ca.upf
Pr 140.91 Pr.upf
Zn 65.41 Zn.upf
ATOMIC_POSITIONS crystal
Ca 0.000 0.000 0.000
Pr 0.140 0.140 0.140
Pr 0.860 0.860 0.860
Zn 0.077 0.583 0.583
Zn 0.335 0.335 0.335
Zn 0.417 0.417 0.923
Zn 0.417 0.923 0.417
Zn 0.500 0.500 0.500
Zn 0.583 0.077 0.583
Zn 0.583 0.583 0.077
Zn 0.665 0.665 0.665
Zn 0.923 0.417 0.417
CELL_PARAMETERS angstrom
2.786 1.608 8.745
-2.786 1.608 8.745
0.000 -3.217 8.745
```

Results
The magnetization comes out at 0.0 μB/f.u. As for the crystal system: trigonal. For the formation energy, the calculation gives -257 meV per atom. Its calculated volume is 19.59 Å³ per atom. The space-group type is R-3m.

***

# 2
CaPrZn | GGA-PBE | relaxed Values from VASP.

```
&SYSTEM
  ibrav = 0, nat = 6, ntyp = 3
/
ATOMIC_SPECIES
Ca 40.08 Ca.upf
Pr 140.91 Pr.upf
Zn 65.41 Zn.upf
ATOMIC_POSITIONS crystal
Ca 0.250 0.750 0.000
Ca 0.750 0.250 0.000
Pr 0.250 0.250 0.382
Pr 0.750 0.750 0.618
Zn 0.250 0.250 0.755
Zn 0.750 0.750 0.245
CELL_PARAMETERS angstrom
4.817 0.000 0.000
0.000 4.817 0.000
0.000 0.000 7.755
```

Results
The magnetization comes out at 0.0 μB/f.u. As for the crystal system: tetragonal. For the formation energy, the calculation gives -66 meV per atom. Its calculated volume is 30.00 Å³ per atom. The space-group type is P4/nmm.

***

# 3
CaPrZn3 | GGA-PBE | relaxed Values from VASP.

```
&SYSTEM
  ibrav = 0, nat = 10, ntyp = 3
/
ATOMIC_SPECIES
Ca 40.08 Ca.upf
Pr 140.91 Pr.upf
Zn 65.41 Zn.upf
ATOMIC_POSITIONS crystal
Ca 0.207 0.793 0.750
Ca 0.793 0.207 0.250
Pr 0.072 0.928 0.250
Pr 0.928 0.072 0.750
Zn 0.332 0.668 0.750
Zn 0.382 0.618 0.250
Zn 0.477 0.523 0.250
Zn 0.523 0.477 0.750
Zn 0.618 0.382 0.750
Zn 0.668 0.332 0.250
CELL_PARAMETERS angstrom
1.913 -13.777 0.000
1.913 13.777 0.000
0.000 0.000 4.547
```

Results
The magnetization comes out at 0.0 μB/f.u. As for the crystal system: orthorhombic. For the formation energy, the calculation gives -291 meV per atom. Its calculated volume is 23.97 Å³ per atom. The space-group type is Cmcm.

***

# 4
CaPrZn2 | GGA-PBE | relaxed Values from VASP.

```
&SYSTEM
  ibrav = 0, nat = 4, ntyp = 3
/
ATOMIC_SPECIES
Ca 40.08 Ca.upf
Pr 140.91 Pr.upf
Zn 65.41 Zn.upf
ATOMIC_POSITIONS crystal
Ca 0.000 0.000 0.000
Pr 0.500 0.500 0.000
Zn 0.000 0.500 0.500
Zn 0.500 0.000 0.500
CELL_PARAMETERS angstrom
5.226 0.000 0.000
0.000 5.226 0.000
0.000 0.000 3.703
```

Results
The magnetization comes out at 0.0 μB/f.u. As for the crystal system: tetragonal. For the formation energy, the calculation gives -286 meV per atom. Its calculated volume is 25.28 Å³ per atom. The space-group type is P4/mmm.

***

Copy entry 3 word for word.
CaPrZn3 | GGA-PBE | relaxed Values from VASP.

```
&SYSTEM
  ibrav = 0, nat = 10, ntyp = 3
/
ATOMIC_SPECIES
Ca 40.08 Ca.upf
Pr 140.91 Pr.upf
Zn 65.41 Zn.upf
ATOMIC_POSITIONS crystal
Ca 0.207 0.793 0.750
Ca 0.793 0.207 0.250
Pr 0.072 0.928 0.250
Pr 0.928 0.072 0.750
Zn 0.332 0.668 0.750
Zn 0.382 0.618 0.250
Zn 0.477 0.523 0.250
Zn 0.523 0.477 0.750
Zn 0.618 0.382 0.750
Zn 0.668 0.332 0.250
CELL_PARAMETERS angstrom
1.913 -13.777 0.000
1.913 13.777 0.000
0.000 0.000 4.547
```

Results
The magnetization comes out at 0.0 μB/f.u. As for the crystal system: orthorhombic. For the formation energy, the calculation gives -291 meV per atom. Its calculated volume is 23.97 Å³ per atom. The space-group type is Cmcm.